# 1
! Mg2NiIr, relaxed, DFT GGA-PBE; values from VASP
&SYSTEM
  ibrav = 0, nat = 16, ntyp = 3
/
ATOMIC_SPECIES
Mg 24.30 Mg.upf
Ni 58.69 Ni.upf
Ir 192.22 Ir.upf
CELL_PARAMETERS angstrom
6.1682 0.0000 0.0000
0.0000 6.1682 0.0000
0.0000 0.0000 6.1682
ATOMIC_POSITIONS crystal
Mg 0.2500 0.2500 0.2500
Mg 0.2500 0.2500 0.7500
Mg 0.2500 0.7500 0.2500
Mg 0.2500 0.7500 0.7500
Mg 0.7500 0.2500 0.2500
Mg 0.7500 0.2500 0.7500
Mg 0.7500 0.7500 0.2500
Mg 0.7500 0.7500 0.7500
Ni 0.0000 0.0000 0.0000
Ni 0.0000 0.5000 0.5000
Ni 0.5000 0.0000 0.5000
Ni 0.5000 0.5000 0.0000
Ir 0.0000 0.0000 0.5000
Ir 0.0000 0.5000 0.0000
Ir 0.5000 0.0000 0.0000
Ir 0.5000 0.5000 0.5000
! - Formation energy: -0.26 eV/atom

---

# 2
Computed, not measured: a relaxed ErCoC6N6 crystal at the GGA-PBE level of DFT. Values from VASP.

```
&SYSTEM
  ibrav = 0, nat = 28, ntyp = 4
/
ATOMIC_SPECIES
Er 167.26 Er.upf
Co 58.93 Co.upf
C 12.01 C.upf
N 14.01 N.upf
CELL_PARAMETERS angstrom
7.4006 0.0000 0.0000
-3.7003 6.4091 0.0000
0.0000 0.0000 12.9927
ATOMIC_POSITIONS crystal
Er 0.3333 0.6667 0.2500
Er 0.6667 0.3333 0.7500
Co 0.0000 0.0000 0.0000
Co 0.0000 0.0000 0.5000
C 0.1185 0.2370 0.0835
C 0.1185 0.2370 0.4165
C 0.1185 0.8815 0.0835
C 0.1185 0.8815 0.4165
C 0.2370 0.1185 0.5835
C 0.2370 0.1185 0.9165
C 0.7630 0.8815 0.0835
C 0.7630 0.8815 0.4165
C 0.8815 0.1185 0.5835
C 0.8815 0.1185 0.9165
C 0.8815 0.7630 0.5835
C 0.8815 0.7630 0.9165
N 0.1919 0.3838 0.1371
N 0.1919 0.3838 0.3629
N 0.1919 0.8081 0.1371
N 0.1919 0.8081 0.3629
N 0.3838 0.1919 0.6371
N 0.3838 0.1919 0.8629
N 0.6162 0.8081 0.1371
N 0.6162 0.8081 0.3629
N 0.8081 0.1919 0.6371
N 0.8081 0.1919 0.8629
N 0.8081 0.6162 0.6371
N 0.8081 0.6162 0.8629
```

---

# 3
Computed, not measured: a relaxed In6BiSe8 crystal at the GGA-PBE level of DFT. Values from VASP.

```
&SYSTEM
  ibrav = 0, nat = 15, ntyp = 3
/
ATOMIC_SPECIES
In 114.82 In.upf
Bi 208.98 Bi.upf
Se 78.96 Se.upf
CELL_PARAMETERS angstrom
5.3125 3.0672 4.4441
-5.3125 3.0672 4.4441
0.0000 -6.1344 4.4441
ATOMIC_POSITIONS crystal
In 0.1139 0.3799 0.6099
In 0.3799 0.6099 0.1139
In 0.3901 0.8861 0.6201
In 0.6099 0.1139 0.3799
In 0.6201 0.3901 0.8861
In 0.8861 0.6201 0.3901
Bi 0.0000 0.0000 0.0000
Se 0.1607 0.6843 0.8279
Se 0.1721 0.8393 0.3157
Se 0.3157 0.1721 0.8393
Se 0.3175 0.3175 0.3175
Se 0.6825 0.6825 0.6825
Se 0.6843 0.8279 0.1607
Se 0.8279 0.1607 0.6843
Se 0.8393 0.3157 0.1721
```

---

# 4
Computed, not measured: a relaxed Tb4TlInO crystal at the GGA-PBE level of DFT. Values from VASP.

```
&SYSTEM
  ibrav = 0, nat = 14, ntyp = 4
/
ATOMIC_SPECIES
Tb 158.93 Tb.upf
Tl 204.38 Tl.upf
In 114.82 In.upf
O 16.00 O.upf
CELL_PARAMETERS angstrom
3.3004 -8.2522 0.0000
3.3004 8.2522 0.0000
0.0000 0.0000 6.6013
ATOMIC_POSITIONS crystal
Tb 0.0000 0.5000 0.0000
Tb 0.0000 0.5000 0.5000
Tb 0.0790 0.9210 0.7500
Tb 0.4208 0.5792 0.7500
Tb 0.5000 0.0000 0.0000
Tb 0.5000 0.0000 0.5000
Tb 0.5792 0.4208 0.2500
Tb 0.9210 0.0790 0.2500
Tl 0.1107 0.8893 0.2500
Tl 0.8893 0.1107 0.7500
In 0.3884 0.6116 0.2500
In 0.6116 0.3884 0.7500
O 0.2488 0.7512 0.7500
O 0.7512 0.2488 0.2500
```

---

# 5
! Ce2SnGe, relaxed, DFT GGA-PBE; values from VASP
&SYSTEM
  ibrav = 0, nat = 12, ntyp = 3
/
ATOMIC_SPECIES
Ce 140.12 Ce.upf
Sn 118.71 Sn.upf
Ge 72.64 Ge.upf
CELL_PARAMETERS angstrom
4.2978 0.0000 0.0000
-2.1489 3.7220 0.0000
0.0000 0.0000 22.0011
ATOMIC_POSITIONS crystal
Ce 0.0000 0.0000 0.2431
Ce 0.0000 0.0000 0.7569
Ce 0.3333 0.6667 0.4236
Ce 0.3333 0.6667 0.9098
Ce 0.6667 0.3333 0.0902
Ce 0.6667 0.3333 0.5764
Sn 0.0000 0.0000 0.0000
Sn 0.3333 0.6667 0.6667
Sn 0.6667 0.3333 0.3333
Ge 0.0000 0.0000 0.5000
Ge 0.3333 0.6667 0.1667
Ge 0.6667 0.3333 0.8333
! - Formation energy: -0.55 eV/atom

---

# 6
! Tl4HgPt, relaxed, DFT GGA-PBE; values from VASP
&SYSTEM
  ibrav = 0, nat = 12, ntyp = 3
/
ATOMIC_SPECIES
Tl 204.38 Tl.upf
Hg 200.59 Hg.upf
Pt 195.08 Pt.upf
CELL_PARAMETERS angstrom
4.7665 -6.0911 0.0000
4.7665 6.0911 0.0000
-1.1427 0.0000 5.6973
ATOMIC_POSITIONS crystal
Tl 0.0939 0.7034 0.9581
Tl 0.1637 0.3556 0.5843
Tl 0.2966 0.9061 0.5419
Tl 0.3556 0.1637 0.0843
Tl 0.6444 0.8363 0.9157
Tl 0.7034 0.0939 0.4581
Tl 0.8363 0.6444 0.4157
Tl 0.9061 0.2966 0.0419
Hg 0.4150 0.5850 0.2500
Hg 0.5850 0.4150 0.7500
Pt 0.0040 0.9960 0.2500
Pt 0.9960 0.0040 0.7500
! - Formation energy: -0.03 eV/atom
! - Energy relative to the lowest polymorph listed for this composition: 0 meV per atom

---

# 7
! SrCoSbTe2, relaxed, DFT GGA-PBE; values from VASP
&SYSTEM
  ibrav = 0, nat = 5, ntyp = 4
/
ATOMIC_SPECIES
Sr 87.62 Sr.upf
Co 58.93 Co.upf
Sb 121.76 Sb.upf
Te 127.60 Te.upf
CELL_PARAMETERS angstrom
6.0672 0.0000 0.0000
0.0000 6.0672 0.0000
0.0000 0.0000 6.0472
ATOMIC_POSITIONS crystal
Sr 0.0000 0.0000 0.0000
Co 0.5000 0.5000 0.5000
Sb 0.0000 0.0000 0.5000
Te 0.0000 0.5000 0.0000
Te 0.5000 0.0000 0.0000
! - Energy relative to the lowest polymorph listed for this composition: 1459 meV per atom

---

# 8
Computed, not measured: a relaxed DyPu2I6 crystal at the GGA-PBE level of DFT. Values from VASP.

```
&SYSTEM
  ibrav = 0, nat = 9, ntyp = 3
/
ATOMIC_SPECIES
Dy 162.50 Dy.upf
Pu 244.00 Pu.upf
I 126.90 I.upf
CELL_PARAMETERS angstrom
8.6753 -2.1205 0.0000
8.6753 2.1205 0.0000
-4.0708 0.0000 10.1278
ATOMIC_POSITIONS crystal
Dy 0.0000 0.0000 0.0000
Pu 0.3278 0.3278 0.6567
Pu 0.6722 0.6722 0.3433
I 0.0263 0.0263 0.2938
I 0.3107 0.3107 0.3591
I 0.3647 0.3647 0.9688
I 0.6353 0.6353 0.0312
I 0.6893 0.6893 0.6409
I 0.9737 0.9737 0.7062
```

---

The evaluated total magnetic moment for the records listed, in turn: 0.000, 0.135, 0.000, 0.000, 1.259, 0.000, 2.313, 12.806 μB per cell.
The evaluated DFT total energy for the records listed, in turn: -4.7200, -8.4465, -3.5761, -5.1591, -5.6699, -2.6659, -2.7427, -5.8412 eV per atom.